P | Density functional theory data (PBEsol) for an optimized crystal structure of TlPW2.

The spin magnetization comes out at 0.00 μB per formula unit. As for the crystal system: monoclinic.

a b c (Å): 3.041 3.043 7.047
angles (deg): 91.74 90.00 90.00
Sites, in units of the cell vectors:
W (0.000, 0.986, 0.314)
W (0.000, 0.014, 0.686)
Tl (0.500, 0.500, 0.000)
P (0.500, 0.500, 0.500)

=====

Q | Density functional theory data (PBEsol) for an optimized crystal structure of TlPW2.

The spin magnetization comes out at 0.00 μB per formula unit. As for the crystal system: monoclinic.

a b c (Å): 2.935 5.192 5.192
angles (deg): 113.95 102.35 102.35
Sites, in units of the cell vectors:
W (0.000, 0.000, 0.500)
Tl (0.500, 0.500, 0.500)
P (0.500, 0.000, 0.000)
W (0.000, 0.500, 0.000)

=====

Energies relative to the most stable structure are P 0.000; Q 0.604, reported in eV/atom.

=====

P | Density functional theory data (PBEsol) for an optimized crystal structure of CoTc2.

The spin magnetization comes out at 0.00 μB per formula unit. As for the crystal system: tetragonal.

a b c (Å): 3.699 3.699 11.354
angles (deg): 99.37 99.37 90.00
Sites, in units of the cell vectors:
Tc (0.586, 0.586, 0.171)
Co (0.335, 0.835, 0.670)
Tc (0.499, 0.999, 0.998)
Tc (0.836, 0.336, 0.671)
Tc (0.249, 0.249, 0.498)
Tc (0.751, 0.751, 0.502)
Tc (0.414, 0.414, 0.829)
Co (0.085, 0.085, 0.170)
Co (0.915, 0.915, 0.830)
Co (0.165, 0.665, 0.330)
Tc (0.664, 0.164, 0.329)
Tc (0.001, 0.501, 0.002)

=====

Q | Density functional theory data (PBEsol) for an optimized crystal structure of CoTc2.

The spin magnetization comes out at 0.00 μB per formula unit. As for the crystal system: orthorhombic.

a b c (Å): 2.625 4.203 6.992
angles (deg): 90.00 100.82 90.00
Sites, in units of the cell vectors:
Tc (0.053, 0.250, 0.106)
Tc (0.722, 0.250, 0.445)
Co (0.389, 0.250, 0.779)
Tc (0.947, 0.750, 0.894)
Co (0.611, 0.750, 0.221)
Tc (0.278, 0.750, 0.555)

=====

Energies relative to the most stable structure are P 0.034; Q 0.000, reported in eV/atom.

=====

P | Density functional theory data (PBEsol) for an optimized crystal structure of Tl2InAg.

The spin magnetization comes out at 0.00 μB per formula unit. As for the crystal system: tetragonal.

a b c (Å): 3.268 3.268 9.021
angles (deg): 90.00 90.00 90.00
Sites, in units of the cell vectors:
Tl (0.500, 0.500, 0.286)
Ag (0.000, 0.000, 0.515)
In (0.500, 0.500, 0.713)
Tl (0.000, 0.000, 0.986)

=====

Q | Density functional theory data (PBEsol) for an optimized crystal structure of Tl2InAg.

The spin magnetization comes out at 0.00 μB per formula unit. As for the crystal system: monoclinic.

a b c (Å): 3.456 4.700 6.239
angles (deg): 90.00 106.72 90.00
Sites, in units of the cell vectors:
Tl (0.711, 0.500, 0.297)
Ag (0.308, 0.000, 0.479)
In (0.437, 0.500, 0.755)
Tl (0.044, 0.000, 0.969)

=====

Energies relative to the most stable structure are P 0.000; Q 0.047, reported in eV/atom.

=====

P | Density functional theory data (PBEsol) for an optimized crystal structure of Sr2TlAu.

The spin magnetization comes out at 0.00 μB per formula unit. As for the crystal system: monoclinic.

a b c (Å): 3.825 5.307 6.710
angles (deg): 112.81 106.56 90.00
Sites, in units of the cell vectors:
Sr (0.243, 0.741, 0.486)
Au (0.762, 0.259, 0.523)
Tl (0.456, 0.459, 0.912)
Sr (0.040, 0.041, 0.079)

=====

Q | Density functional theory data (PBEsol) for an optimized crystal structure of Sr2TlAu.

The spin magnetization comes out at 0.00 μB per formula unit. As for the crystal system: tetragonal.

a b c (Å): 3.821 5.527 5.527
angles (deg): 90.03 90.00 90.00
Sites, in units of the cell vectors:
Sr (0.000, 0.500, 0.000)
Sr (0.000, 0.000, 0.500)
Tl (0.500, 0.000, 0.000)
Au (0.500, 0.500, 0.500)

=====

Energies relative to the most stable structure are P 0.075; Q 0.000, reported in eV/atom.

=====

P | Density functional theory data (PBEsol) for an optimized crystal structure of Cd2InPb.

The spin magnetization comes out at 0.00 μB per formula unit. As for the crystal system: monoclinic.

a b c (Å): 3.302 6.039 6.025
angles (deg): 117.58 101.79 98.00
Sites, in units of the cell vectors:
Cd (0.500, 0.500, 0.500)
Pb (0.500, 0.000, 0.000)
In (0.000, 0.500, 0.000)
Cd (0.000, 0.000, 0.500)

=====

Q | Density functional theory data (PBEsol) for an optimized crystal structure of Cd2InPb.

The spin magnetization comes out at 0.00 μB per formula unit. As for the crystal system: orthorhombic.

a b c (Å): 3.290 4.445 6.683
angles (deg): 90.00 90.00 90.00
Sites, in units of the cell vectors:
Pb (0.500, 0.500, 0.755)
Cd (0.000, 0.000, 0.022)
Cd (0.500, 0.500, 0.241)
In (0.000, 0.000, 0.482)

=====

Energies relative to the most stable structure are P 0.041; Q 0.000, reported in eV/atom.

=====

P | Density functional theory data (PBEsol) for an optimized crystal structure of Be2CuTc.

The spin magnetization comes out at 0.00 μB per formula unit. As for the crystal system: orthorhombic.

a b c (Å): 2.523 2.942 5.507
angles (deg): 90.00 90.00 90.00
Sites, in units of the cell vectors:
Tc (0.500, 0.500, 0.500)
Be (0.000, 0.000, 0.771)
Cu (0.500, 0.500, 0.000)
Be (0.000, 0.000, 0.229)

=====

Q | Density functional theory data (PBEsol) for an optimized crystal structure of Be2CuTc.

The spin magnetization comes out at 0.00 μB per formula unit. As for the crystal system: tetragonal.

a b c (Å): 2.632 2.632 5.883
angles (deg): 90.00 90.00 90.00
Sites, in units of the cell vectors:
Be (0.000, 0.000, 0.040)
Tc (0.500, 0.500, 0.775)
Be (0.500, 0.500, 0.232)
Cu (0.000, 0.000, 0.452)

=====

Energies relative to the most stable structure are P 0.000; Q 0.090, reported in eV/atom.

=====

P | Density functional theory data (PBEsol) for an optimized crystal structure of BeZnFe2.

The spin magnetization comes out at 4.26 μB per formula unit. As for the crystal system: tetragonal.

a b c (Å): 3.440 3.444 3.615
angles (deg): 90.00 90.00 90.00
Sites, in units of the cell vectors:
Fe (0.500, 0.500, 0.000)
Fe (0.000, 0.000, 0.000)
Zn (0.500, 0.000, 0.500)
Be (0.000, 0.500, 0.500)

=====

Q | Density functional theory data (PBEsol) for an optimized crystal structure of BeZnFe2.

The spin magnetization comes out at 3.47 μB per formula unit. As for the crystal system: cubic.

a b c (Å): 3.896 3.896 3.896
angles (deg): 60.00 60.00 60.00
Sites, in units of the cell vectors:
Zn (0.500, 0.500, 0.500)
Fe (0.250, 0.250, 0.250)
Fe (0.750, 0.750, 0.750)
Be (0.000, 0.000, 0.000)

=====

Energies relative to the most stable structure are P 0.000; Q 0.085, reported in eV/atom.

=====

P | Density functional theory data (PBEsol) for an optimized crystal structure of SrCaMo2.

The spin magnetization comes out at 0.00 μB per formula unit. As for the crystal system: tetragonal.

a b c (Å): 3.964 3.964 5.963
angles (deg): 109.41 109.41 90.00
Sites, in units of the cell vectors:
Mo (0.750, 0.250, 0.500)
Mo (0.250, 0.750, 0.500)
Sr (0.500, 0.500, 0.000)
Ca (0.000, 0.000, 0.000)

=====

Q | Density functional theory data (PBEsol) for an optimized crystal structure of SrCaMo2.

The spin magnetization comes out at 0.00 μB per formula unit. As for the crystal system: trigonal.

a b c (Å): 3.005 3.005 10.878
angles (deg): 82.06 82.06 60.00
Sites, in units of the cell vectors:
Sr (0.500, 0.500, 0.500)
Ca (0.000, 0.000, 0.000)
Mo (0.253, 0.253, 0.242)
Mo (0.747, 0.747, 0.758)

=====

Energies relative to the most stable structure are P 0.000; Q 0.156, reported in eV/atom.

=====

P | Density functional theory data (PBEsol) for an optimized crystal structure of LiAl2Tc.

The spin magnetization comes out at 0.00 μB per formula unit. As for the crystal system: tetragonal.

a b c (Å): 3.731 3.731 4.717
angles (deg): 113.30 113.30 90.00
Sites, in units of the cell vectors:
Tc (0.500, 0.500, 0.000)
Li (0.000, 0.000, 0.000)
Al (0.750, 0.250, 0.500)
Al (0.250, 0.750, 0.500)

=====

Q | Density functional theory data (PBEsol) for an optimized crystal structure of LiAl2Tc.

The spin magnetization comes out at 0.00 μB per formula unit. As for the crystal system: orthorhombic.

a b c (Å): 2.663 4.117 5.223
angles (deg): 90.00 90.00 90.00
Sites, in units of the cell vectors:
Li (0.000, 0.000, 0.497)
Al (0.500, 0.500, 0.269)
Tc (0.500, 0.500, 0.766)
Al (0.000, 0.000, 0.969)

=====

Energies relative to the most stable structure are P 0.000; Q 0.207, reported in eV/atom.

=====

P | Density functional theory data (PBEsol) for an optimized crystal structure of CoReBr2.

The spin magnetization comes out at 2.34 μB per formula unit. As for the crystal system: tetragonal.

a b c (Å): 3.099 4.480 4.480
angles (deg): 90.00 90.00 90.00
Sites, in units of the cell vectors:
Re (0.500, 0.000, 0.000)
Co (0.500, 0.500, 0.500)
Br (0.000, 0.500, 0.000)
Br (0.000, 0.000, 0.500)

=====

Q | Density functional theory data (PBEsol) for an optimized crystal structure of CoReBr2.

The spin magnetization comes out at 0.97 μB per formula unit. As for the crystal system: monoclinic.

a b c (Å): 3.024 4.317 5.271
angles (deg): 103.26 90.00 110.51
Sites, in units of the cell vectors:
Re (0.000, 0.000, 0.500)
Br (0.235, 0.469, 0.246)
Co (0.500, 0.000, 0.000)
Br (0.765, 0.531, 0.754)

=====

Energies relative to the most stable structure are P 0.236; Q 0.000, reported in eV/atom.

=====

P | Density functional theory data (PBEsol) for an optimized crystal structure of LiFePO4.

The spin magnetization comes out at 4.00 μB per formula unit. As for the crystal system: monoclinic.

a b c (Å): 5.143 5.197 8.513
angles (deg): 89.59 89.16 60.34
Sites, in units of the cell vectors:
O (0.880, 0.400, 0.687)
O (0.372, 0.594, 0.818)
O (0.574, 0.943, 0.757)
O (0.966, 0.406, 0.318)
Fe (0.623, 0.674, 0.183)
O (0.372, 0.435, 0.470)
Li (0.108, 0.676, 0.987)
Fe (0.296, 0.326, 0.683)
O (0.280, 0.600, 0.187)
O (0.807, 0.565, 0.970)
Li (0.784, 0.324, 0.487)
O (0.517, 0.057, 0.257)
P (0.654, 0.630, 0.807)
P (0.284, 0.370, 0.307)

=====

Q | Density functional theory data (PBEsol) for an optimized crystal structure of LiFePO4.

The spin magnetization comes out at 4.00 μB per formula unit. As for the crystal system: orthorhombic.

a b c (Å): 5.741 5.638 5.638
angles (deg): 58.82 59.40 59.40
Sites, in units of the cell vectors:
Li (0.500, 0.500, 0.000)
O (0.743, 0.776, 0.737)
P (0.632, 0.118, 0.618)
O (0.743, 0.237, 0.276)
O (0.736, 0.234, 0.734)
Fe (0.000, 0.500, 0.500)
O (0.257, 0.763, 0.724)
Li (0.000, 0.500, 0.000)
O (0.704, 0.766, 0.266)
P (0.368, 0.882, 0.382)
O (0.264, 0.766, 0.266)
Fe (0.000, 0.000, 0.000)
O (0.257, 0.224, 0.263)
O (0.296, 0.234, 0.734)

=====

Energies relative to the most stable structure are P 0.049; Q 0.000, reported in eV/atom.

=====

P | Density functional theory data (PBEsol) for an optimized crystal structure of TlIn2Ir.

The spin magnetization comes out at 0.00 μB per formula unit. As for the crystal system: tetragonal.

a b c (Å): 3.215 5.020 5.020
angles (deg): 90.00 90.00 90.00
Sites, in units of the cell vectors:
In (0.000, 0.500, 0.000)
Tl (0.500, 0.000, 0.000)
Ir (0.500, 0.500, 0.500)
In (0.000, 0.000, 0.500)

=====

Q | Density functional theory data (PBEsol) for an optimized crystal structure of TlIn2Ir.

The spin magnetization comes out at 0.00 μB per formula unit. As for the crystal system: tetragonal.

a b c (Å): 3.117 3.117 8.892
angles (deg): 90.00 90.00 90.00
Sites, in units of the cell vectors:
Tl (0.500, 0.500, 0.703)
Ir (0.000, 0.000, 0.486)
In (0.500, 0.500, 0.300)
In (0.000, 0.000, 0.011)

=====

Energies relative to the most stable structure are P 0.187; Q 0.000, reported in eV/atom.

=====

P | Density functional theory data (PBEsol) for an optimized crystal structure of TaRhAu2.

The spin magnetization comes out at 0.00 μB per formula unit. As for the crystal system: trigonal.

a b c (Å): 2.861 2.861 9.320
angles (deg): 81.17 81.17 60.00
Sites, in units of the cell vectors:
Rh (0.504, 0.504, 0.489)
Ta (0.246, 0.246, 0.261)
Au (0.998, 0.998, 0.005)
Au (0.752, 0.752, 0.744)

=====

Q | Density functional theory data (PBEsol) for an optimized crystal structure of TaRhAu2.

The spin magnetization comes out at 0.00 μB per formula unit. As for the crystal system: tetragonal.

a b c (Å): 3.962 3.962 4.902
angles (deg): 113.85 113.85 89.95
Sites, in units of the cell vectors:
Ta (0.250, 0.750, 0.500)
Au (0.750, 0.250, 0.500)
Rh (0.500, 0.500, 0.000)
Au (0.000, 0.000, 0.000)

=====

Energies relative to the most stable structure are P 0.153; Q 0.000, reported in eV/atom.

=====

P | Density functional theory data (PBEsol) for an optimized crystal structure of TlCr2Te.

The spin magnetization comes out at 3.17 μB per formula unit. As for the crystal system: cubic.

a b c (Å): 4.570 4.570 4.570
angles (deg): 60.00 60.00 60.00
Sites, in units of the cell vectors:
Cr (0.250, 0.250, 0.250)
Tl (0.500, 0.500, 0.500)
Te (0.000, 0.000, 0.000)
Cr (0.750, 0.750, 0.750)

=====

Q | Density functional theory data (PBEsol) for an optimized crystal structure of TlCr2Te.

The spin magnetization comes out at 0.63 μB per formula unit. As for the crystal system: cubic.

a b c (Å): 4.885 4.885 4.885
angles (deg): 60.00 60.00 60.00
Sites, in units of the cell vectors:
Cr (0.750, 0.750, 0.750)
Cr (0.000, 0.000, 0.000)
Te (0.500, 0.500, 0.500)
Tl (0.250, 0.250, 0.250)

=====

Energies relative to the most stable structure are P 0.009; Q 0.000, reported in eV/atom.